[1]
Entry from Alexandria: crystalline NpBePtO6 at its relaxed geometry (GGA-PBE).

Unit cell a=5.045 b=5.045 c=8.796 alpha=90.00 beta=90.00 gamma=120.00
Atoms (fractional coordinates):
1 O 0.351 0.027 0.130
2 O 0.351 0.324 0.370
3 O 0.973 0.324 0.130
4 O 0.649 0.676 0.630
5 O 0.649 0.973 0.870
6 O 0.324 0.973 0.630
7 O 0.973 0.649 0.370
8 O 0.027 0.676 0.870
9 O 0.676 0.027 0.370
10 O 0.676 0.649 0.130
11 O 0.324 0.351 0.870
12 O 0.027 0.351 0.630
13 Np 0.667 0.333 0.750
14 Np 0.333 0.667 0.250
15 Pt 0.000 0.000 0.000
16 Pt 0.000 0.000 0.500
17 Be 0.333 0.667 0.750
18 Be 0.667 0.333 0.250

Properties
E_form (uncorrected): -1729 meV per atom
Calculated total energy: -7.5580 eV per atom
Crystal system: trigonal

---

[2]
Entry from Alexandria: crystalline SbCl at its relaxed geometry (GGA-PBE).

Unit cell a=5.744 b=5.744 c=10.596 alpha=63.90 beta=63.90 gamma=36.37
Atoms (fractional coordinates):
1 Cl 0.610 0.610 0.653
2 Cl 0.036 0.036 0.001
3 Cl 0.650 0.650 0.276
4 Sb 0.402 0.402 0.375
5 Sb 0.285 0.285 0.895
6 Sb 0.850 0.850 0.633

Properties
E_form (uncorrected): -354 meV per atom
Energy above the most stable polymorph in this dataset: 0.121 eV/atom
Calculated total energy: -3.3384 eV per atom
Crystal system: monoclinic

---

[3]
Entry from Alexandria: crystalline MgCdN2F at its relaxed geometry (GGA-PBE).

Unit cell a=4.681 b=3.472 c=4.681 alpha=90.00 beta=90.00 gamma=90.00
Atoms (fractional coordinates):
1 Cd 0.500 0.500 0.500
2 N 0.000 0.000 0.500
3 N 0.500 0.000 0.000
4 F 0.000 0.000 0.000
5 Mg 0.000 0.500 0.000

Properties
E_form (uncorrected): 798 meV per atom
Energy above the most stable polymorph in this dataset: 0.593 eV/atom
Calculated total energy: -3.4088 eV per atom
Crystal system: tetragonal